# AcTlCdTe3

An optimized crystal structure of AcTlCdTe3 (PBE, the Alexandria database).

CIF file:
```
data_AcTlCdTe3
_chemical_formula_sum 'Ac2 Tl2 Cd2 Te6'
_symmetry_space_group_name_H-M 'P 1 21/m 1'
_symmetry_Int_Tables_number 11
_cell_length_a 9.796
_cell_length_b 4.725
_cell_length_c 10.673
_cell_angle_alpha 90.00
_cell_angle_beta 102.48
_cell_angle_gamma 90.00
loop_
_symmetry_equiv_pos_as_xyz
'x,y,z'
'-x,-y,-z'
'-x,y+1/2,-z'
'x,-y+1/2,z'
loop_
_atom_site_label
_atom_site_fract_x
_atom_site_fract_y
_atom_site_fract_z
Ac1 0.172 0.250 0.152
Tl1 0.304 0.750 0.793
Cd1 0.415 0.750 0.397
Te1 0.061 0.250 0.834
Te2 0.284 0.250 0.482
Te3 0.406 0.750 0.129
```

Computed properties:
uncorrected formation energy = -0.87 eV per atom
calculated density = 6.4 Mg/m³
crystal system = monoclinic
total energy = -22.05 eV per formula unit

***

# Pm6Sm2Er3

An optimized crystal structure of Pm6Sm2Er3 (PBE, the Alexandria database).

CIF file:
```
data_Pm6Sm2Er3
_chemical_formula_sum 'Pm6 Sm2 Er3'
_symmetry_space_group_name_H-M 'P -1'
_symmetry_Int_Tables_number 2
_cell_length_a 6.116
_cell_length_b 8.483
_cell_length_c 8.509
_cell_angle_alpha 104.75
_cell_angle_beta 108.20
_cell_angle_gamma 107.82
loop_
_symmetry_equiv_pos_as_xyz
'x,y,z'
'-x,-y,-z'
loop_
_atom_site_label
_atom_site_fract_x
_atom_site_fract_y
_atom_site_fract_z
Pm1 0.138 0.404 0.211
Pm2 0.243 0.044 0.906
Pm3 0.260 0.850 0.258
Sm1 0.331 0.686 0.643
Er1 0.201 0.222 0.546
Er2 0.500 0.500 0.000
```

Computed properties:
D(E_F) = 1.518 states/eV per atom
calculated density = 7.5 Mg/m³
crystal system = triclinic
formation energy from the elements = 0.08 eV per atom
distance to the lowest polymorph of the same formula = 0 meV per atom
total energy = -50.78 eV per formula unit

***

# CaBr

An optimized crystal structure of CaBr (PBE, the Alexandria database).

CIF file:
```
data_CaBr
_chemical_formula_sum 'Ca6 Br6'
_symmetry_space_group_name_H-M 'A m m 2'
_symmetry_Int_Tables_number 38
_cell_length_a 4.017
_cell_length_b 10.129
_cell_length_c 9.737
_cell_angle_alpha 90.00
_cell_angle_beta 90.00
_cell_angle_gamma 90.00
loop_
_symmetry_equiv_pos_as_xyz
'x,y,z'
'-x,-y,z'
'-x,y,z'
'x,-y,z'
'x,y+1/2,z+1/2'
'-x,-y+1/2,z+1/2'
'-x,y+1/2,z+1/2'
'x,-y+1/2,z+1/2'
loop_
_atom_site_label
_atom_site_fract_x
_atom_site_fract_y
_atom_site_fract_z
Ca1 0.000 0.000 0.000
Ca2 0.500 0.192 0.254
Br1 0.000 0.212 0.494
Br2 0.500 0.000 0.771
```

Computed properties:
D(E_F) = 0.567 states/eV per atom
uncorrected formation energy = -1.35 eV per atom
calculated density = 3.0 Mg/m³
crystal system = orthorhombic
total energy = -6.37 eV per formula unit

***

# Na6Tl10Sn

An optimized crystal structure of Na6Tl10Sn (PBE, the Alexandria database).

CIF file:
```
data_Na6Tl10Sn
_chemical_formula_sum 'Na6 Tl10 Sn1'
_symmetry_space_group_name_H-M 'P -3 1 m'
_symmetry_Int_Tables_number 162
_symmetry_space_group_name_Hall '-P 3 2'
_cell_length_a 9.3619
_cell_length_b 9.3619
_cell_length_c 6.4987
_cell_angle_alpha 90.00
_cell_angle_beta 90.00
_cell_angle_gamma 120.00
loop_
_atom_site_label
_atom_site_fract_x
_atom_site_fract_y
_atom_site_fract_z
Na1 0.0000 0.3702 0.3068
Tl1 0.0000 0.2729 0.8142
Tl2 0.3333 0.6667 0.0000
Tl3 0.3333 0.6667 0.5000
Sn1 0.0000 0.0000 0.5000
```

Computed properties:
D(E_F) = 0.537 states/eV per atom
calculated density = 7.7 Mg/m³
crystal system = trigonal
formation energy from the elements = -0.07 eV per atom
total energy = -36.72 eV per formula unit

***

# AlCo2

An optimized crystal structure of AlCo2 (PBE, the Alexandria database).

CIF file:
```
data_AlCo2
_chemical_formula_sum 'Al1 Co2'
_symmetry_space_group_name_H-M 'P 4/m m m'
_symmetry_Int_Tables_number 123
_symmetry_space_group_name_Hall '-P 4 2'
_cell_length_a 3.881
_cell_length_b 3.881
_cell_length_c 2.763
_cell_angle_alpha 90.00
_cell_angle_beta 90.00
_cell_angle_gamma 90.00
loop_
_atom_site_label
_atom_site_fract_x
_atom_site_fract_y
_atom_site_fract_z
Al1 0.000 0.000 0.000
Co1 0.000 0.500 0.500
```

Computed properties:
D(E_F) = 1.581 states/eV per atom
calculated density = 5.8 Mg/m³
crystal system = tetragonal
formation energy from the elements = 0.36 eV per atom
total energy = -16.86 eV per formula unit

***

# ZrTcBr4

An optimized crystal structure of ZrTcBr4 (PBE, the Alexandria database).

CIF file:
```
data_ZrTcBr4
_chemical_formula_sum 'Zr4 Tc4 Br16'
_symmetry_space_group_name_H-M 'F -4 3 m'
_symmetry_Int_Tables_number 216
_symmetry_space_group_name_Hall 'F -4 2 3'
_cell_length_a 8.572
_cell_length_b 8.572
_cell_length_c 8.572
_cell_angle_alpha 90.00
_cell_angle_beta 90.00
_cell_angle_gamma 90.00
loop_
_atom_site_label
_atom_site_fract_x
_atom_site_fract_y
_atom_site_fract_z
Zr1 0.000 0.000 0.000
Tc1 0.250 0.250 0.250
Br1 0.125 0.125 0.625
```

Computed properties:
D(E_F) = 1.738 states/eV per atom
uncorrected formation energy = 1.16 eV per atom
calculated density = 5.4 Mg/m³
crystal system = cubic
total energy = -18.63 eV per formula unit

***

# CsSrTl6

An optimized crystal structure of CsSrTl6 (PBE, the Alexandria database).

CIF file:
```
data_CsSrTl6
_chemical_formula_sum 'Cs2 Sr2 Tl12'
_symmetry_space_group_name_H-M 'A m m 2'
_symmetry_Int_Tables_number 38
_cell_length_a 5.385
_cell_length_b 7.902
_cell_length_c 13.543
_cell_angle_alpha 90.00
_cell_angle_beta 90.00
_cell_angle_gamma 90.00
loop_
_symmetry_equiv_pos_as_xyz
'x,y,z'
'-x,-y,z'
'-x,y,z'
'x,-y,z'
'x,y+1/2,z+1/2'
'-x,-y+1/2,z+1/2'
'-x,y+1/2,z+1/2'
'x,-y+1/2,z+1/2'
loop_
_atom_site_label
_atom_site_fract_x
_atom_site_fract_y
_atom_site_fract_z
Cs1 0.000 0.000 0.000
Sr1 0.500 0.000 0.670
Tl1 0.000 0.000 0.485
Tl2 0.000 0.220 0.261
Tl3 0.500 0.000 0.191
Tl4 0.500 0.214 0.408
```

Computed properties:
D(E_F) = 0.496 states/eV per atom
calculated density = 8.3 Mg/m³
crystal system = orthorhombic
formation energy from the elements = -0.11 eV per atom
total energy = -17.64 eV per formula unit

***

# CaPmCd

An optimized crystal structure of CaPmCd (PBE, the Alexandria database).

CIF file:
```
data_CaPmCd
_chemical_formula_sum 'Ca2 Pm2 Cd2'
_symmetry_space_group_name_H-M 'P 63/m m c'
_symmetry_Int_Tables_number 194
_symmetry_space_group_name_Hall '-P 6c 2c'
_cell_length_a 5.5201
_cell_length_b 5.5201
_cell_length_c 6.9951
_cell_angle_alpha 90.00
_cell_angle_beta 90.00
_cell_angle_gamma 120.00
loop_
_atom_site_label
_atom_site_fract_x
_atom_site_fract_y
_atom_site_fract_z
Ca1 0.0000 0.0000 0.0000
Pm1 0.3333 0.6667 0.2500
Cd1 0.3333 0.6667 0.7500
```

Computed properties:
D(E_F) = 1.619 states/eV per atom
calculated density = 5.4 Mg/m³
crystal system = hexagonal
formation energy from the elements = -0.19 eV per atom
distance to the lowest polymorph of the same formula = 3 meV per atom
total energy = -8.23 eV per formula unit

***

# LiBi2RhO6

An optimized crystal structure of LiBi2RhO6 (PBE, the Alexandria database).

CIF file:
```
data_LiBi2RhO6
_chemical_formula_sum 'Li2 Bi4 Rh2 O12'
_symmetry_space_group_name_H-M 'P 1 21/c 1'
_symmetry_Int_Tables_number 14
_cell_length_a 5.466
_cell_length_b 5.818
_cell_length_c 9.483
_cell_angle_alpha 90.00
_cell_angle_beta 124.50
_cell_angle_gamma 90.00
loop_
_symmetry_equiv_pos_as_xyz
'x,y,z'
'-x,-y,-z'
'-x,y+1/2,-z+1/2'
'x,-y+1/2,z+1/2'
loop_
_atom_site_label
_atom_site_fract_x
_atom_site_fract_y
_atom_site_fract_z
Li1 0.000 0.000 0.000
Bi1 0.224 0.065 0.736
Rh1 0.500 0.000 0.500
O1 0.149 0.176 0.460
O2 0.251 0.717 0.431
O3 0.375 0.053 0.259
```

Computed properties:
D(E_F) = 0.473 states/eV per atom
uncorrected formation energy = -1.17 eV per atom
calculated density = 8.3 Mg/m³
crystal system = monoclinic
total energy = -58.44 eV per formula unit

***

# AcPm2Lu

An optimized crystal structure of AcPm2Lu (PBE, the Alexandria database).

CIF file:
```
data_AcPm2Lu
_chemical_formula_sum 'Ac1 Pm2 Lu1'
_symmetry_space_group_name_H-M 'P 4/m m m'
_symmetry_Int_Tables_number 123
_symmetry_space_group_name_Hall '-P 4 2'
_cell_length_a 5.184
_cell_length_b 5.184
_cell_length_c 5.255
_cell_angle_alpha 90.00
_cell_angle_beta 90.00
_cell_angle_gamma 90.00
loop_
_atom_site_label
_atom_site_fract_x
_atom_site_fract_y
_atom_site_fract_z
Ac1 0.000 0.000 0.000
Pm1 0.000 0.500 0.500
Lu1 0.500 0.500 0.000
```

Computed properties:
D(E_F) = 1.570 states/eV per atom
calculated density = 8.1 Mg/m³
crystal system = tetragonal
formation energy from the elements = 0.04 eV per atom
distance to the lowest polymorph of the same formula = 0 meV per atom
total energy = -17.96 eV per formula unit

***

> What is the calculated density in the seventh record?

8.3 Mg/m³